(1)
The following is a DFT calculation (GGA-PBE) of crystalline TbCe2DyBi5 at its relaxed geometry.

The value obtained for the energy of formation is -87 meV per atom. As for the calculated volume: 355 Å³ per cell. The calculation puts the density at 7.698 g/cm³. The calculation puts the density of states at the Fermi level at 17.952 states/eV per cell.

The space group is P4/mmm (No. 123) and the conventional cell measures 5.474, 5.474 and 11.854 Å, with angles of 90.00, 90.00 and 90.00 degrees. Symmetry generates all atoms from Tb at (0.000, 0.000, 0.000), Ce at (0.500, 0.500, 0.216), Dy at (0.000, 0.000, 0.500), Bi at (0.000, 0.000, 0.254), Bi at (0.000, 0.500, 0.000) and Bi at (0.500, 0.500, 0.500).

---

(2)
The following is a DFT calculation (GGA-PBE) of crystalline BaMg2TlNi at its relaxed geometry.

The value obtained for the energy of formation is -134 meV per atom. As for the calculated volume: 133 Å³ per cell. The calculation puts the density at 5.602 g/cm³. The calculation puts the density of states at the Fermi level at 4.192 states/eV per cell.

The space group is P4/mmm (No. 123) and the conventional cell measures 5.086, 5.086 and 5.145 Å, with angles of 90.00, 90.00 and 90.00 degrees. Symmetry generates all atoms from Ba at (0.000, 0.000, 0.000), Mg at (0.000, 0.500, 0.500), Tl at (0.500, 0.500, 0.000) and Ni at (0.500, 0.500, 0.500).

---

(3)
The following is a DFT calculation (GGA-PBE) of crystalline Pu4PAu3 at its relaxed geometry.

The value obtained for the energy of formation is -556 meV per atom. As for the calculated volume: 184 Å³ per cell. The calculation puts the density at 14.452 g/cm³. The calculation puts the density of states at the Fermi level at 28.912 states/eV per cell.

The space group is P4/mmm (No. 123) and the conventional cell measures 3.481, 3.481 and 15.154 Å, with angles of 90.00, 90.00 and 90.00 degrees. Symmetry generates all atoms from Pu at (0.000, 0.000, 0.104), Pu at (0.000, 0.000, 0.369), P at (0.500, 0.500, 0.000), Au at (0.500, 0.500, 0.241) and Au at (0.500, 0.500, 0.500).

---

(4)
The following is a DFT calculation (GGA-PBE) of crystalline La2NdZn2Pb2 at its relaxed geometry.

The value obtained for the energy of formation is -274 meV per atom. As for the calculated volume: 586 Å³ per cell. The calculation puts the density at 8.223 g/cm³. The calculation puts the density of states at the Fermi level at 16.166 states/eV per cell.

The space group is R-3m (No. 166, hexagonal axes) and the conventional cell measures 4.7919, 4.7919 and 29.4669 Å, with angles of 90.00, 90.00 and 120.00 degrees. Symmetry generates all atoms from La at (0.0000, 0.0000, 0.1344), Nd at (0.0000, 0.0000, 0.0000), Zn at (0.0000, 0.0000, 0.4232) and Pb at (0.0000, 0.0000, 0.2710).